! CaNd4, optimized geometry, DFT GGA-PBE; values from VASP
! **SG**: Immm
! **VASP energy**: -4.17 eV/atom
! **E_form**: 0.246 eV/f.u.
! **Offset from the most stable computed form**: 0 meV per atom
&SYSTEM
  ibrav = 0, nat = 5, ntyp = 2
/
ATOMIC_SPECIES
Ca 40.08 Ca.upf
Nd 144.24 Nd.upf
CELL_PARAMETERS angstrom
3.696 0.000 0.000
0.000 5.230 0.000
-1.848 -2.615 9.381
ATOMIC_POSITIONS crystal
Ca 0.000 0.000 0.000
Nd 0.606 0.606 0.211
Nd 0.203 0.203 0.406
Nd 0.797 0.797 0.594
Nd 0.394 0.394 0.789

---

! CaNd8, optimized geometry, DFT GGA-PBE; values from VASP
! **SG**: I4/mmm
! **VASP energy**: -4.43 eV/atom
! **E_form**: 0.279 eV/f.u.
! **Offset from the most stable computed form**: 0 meV per atom
&SYSTEM
  ibrav = 0, nat = 9, ntyp = 2
/
ATOMIC_SPECIES
Ca 40.08 Ca.upf
Nd 144.24 Nd.upf
CELL_PARAMETERS angstrom
-3.240 -4.118 0.422
4.111 -6.816 -2.205
0.655 -3.088 7.632
ATOMIC_POSITIONS crystal
Ca 0.000 0.000 0.000
Nd 0.328 0.000 0.343
Nd 0.672 0.000 0.657
Nd 0.663 0.337 0.337
Nd 0.328 0.343 0.000
Nd 0.000 0.337 0.663
Nd 0.672 0.657 0.000
Nd 0.337 0.663 0.663
Nd 0.000 0.663 0.337

---

! CaNd4, optimized geometry, DFT GGA-PBE; values from VASP
! **SG**: Pm-3m
! **VASP energy**: -3.45 eV/atom
! **E_form**: 3.825 eV/f.u.
! **Offset from the most stable computed form**: 716 meV per atom
&SYSTEM
  ibrav = 0, nat = 5, ntyp = 2
/
ATOMIC_SPECIES
Ca 40.08 Ca.upf
Nd 144.24 Nd.upf
CELL_PARAMETERS angstrom
-2.258 1.272 5.220
-5.369 -0.742 -2.142
0.197 -5.638 1.459
ATOMIC_POSITIONS crystal
Ca 0.500 0.500 0.500
Nd 0.000 0.000 0.000
Nd 0.500 0.000 0.500
Nd 0.000 0.500 0.500
Nd 0.500 0.500 0.000

---

! Ca3Nd, optimized geometry, DFT GGA-PBE; values from VASP
! **SG**: I4/mmm
! **VASP energy**: -2.60 eV/atom
! **E_form**: 0.362 eV/f.u.
! **Offset from the most stable computed form**: 40 meV per atom
&SYSTEM
  ibrav = 0, nat = 4, ntyp = 2
/
ATOMIC_SPECIES
Ca 40.08 Ca.upf
Nd 144.24 Nd.upf
CELL_PARAMETERS angstrom
6.059 0.000 0.000
0.000 6.059 0.000
-3.029 -3.029 4.274
ATOMIC_POSITIONS crystal
Ca 0.750 0.250 0.500
Ca 0.250 0.750 0.500
Ca 0.500 0.500 0.000
Nd 0.000 0.000 0.000

---

! Ca7Nd, optimized geometry, DFT GGA-PBE; values from VASP
! **SG**: C2/m
! **VASP energy**: -2.28 eV/atom
! **E_form**: 0.551 eV/f.u.
&SYSTEM
  ibrav = 0, nat = 8, ntyp = 2
/
ATOMIC_SPECIES
Ca 40.08 Ca.upf
Nd 144.24 Nd.upf
CELL_PARAMETERS angstrom
3.533 0.001 1.125
1.224 9.274 2.248
-1.101 -0.183 9.555
ATOMIC_POSITIONS crystal
Ca 0.741 0.758 0.758
Ca 0.259 0.242 0.242
Ca 0.000 0.500 0.500
Ca 0.627 0.615 0.132
Ca 0.373 0.385 0.868
Ca 0.373 0.868 0.385
Ca 0.627 0.132 0.615
Nd 0.000 0.000 0.000

---

! Ca5Nd, optimized geometry, DFT GGA-PBE; values from VASP
! **SG**: P-6m2
! **VASP energy**: -2.43 eV/atom
! **E_form**: 0.217 eV/f.u.
! **Offset from the most stable computed form**: 0 meV per atom
&SYSTEM
  ibrav = 0, nat = 6, ntyp = 2
/
ATOMIC_SPECIES
Ca 40.08 Ca.upf
Nd 144.24 Nd.upf
CELL_PARAMETERS angstrom
-2.593 2.357 -1.533
-1.105 -3.334 1.514
-2.334 8.514 17.043
ATOMIC_POSITIONS crystal
Ca 0.667 0.333 0.840
Ca 0.000 0.000 0.670
Ca 0.667 0.333 0.500
Ca 0.000 0.000 0.330
Ca 0.667 0.333 0.160
Nd 0.000 0.000 0.000

---

The D(E_F) results, record by record, are as follows: 8.56, 14.71, 7.17, 6.34, 11.77, 8.10 states/eV/f.u..